{"formula": "OsCl2F", "functional": "GGA-PBEsol", "state": "relaxed", "cell": [[2.8832, 0.0000, 0.0000], [1.4416, 2.4969, 0.0000], [1.4416, 0.8323, 8.3073]], "species": ["F", "Cl", "Cl", "Os"], "frac_coords": [[0.5000, 0.5000, 0.5000], [0.9126, 0.9126, 0.2623], [0.0874, 0.0874, 0.7377], [0.0000, 0.0000, 0.0000]], "dos_ef_per_ev_cell": 4.237, "formation_energy_uncorrected_ev_per_fu": 0.73, "polymorph_energy_ev_per_atom": 0.123, "final_energy_ry_per_atom": -0.320, "m_tot_mub_per_cell": 0.33}

***

{"formula": "MnZn2Os", "functional": "GGA-PBEsol", "state": "relaxed", "cell": [[-2.0809, 1.5899, -0.0093], [-1.9448, -2.5256, 3.4236], [2.6364, 3.4606, 1.7192]], "species": ["Os", "Zn", "Zn", "Mn"], "frac_coords": [[0.5000, 0.5000, 0.5000], [0.0000, 0.5000, 0.0000], [0.0000, 0.0000, 0.5000], [0.5000, 0.0000, 0.0000]], "dos_ef_per_ev_cell": 2.336, "polymorph_energy_ev_per_atom": 0.188, "final_energy_ry_per_atom": -0.446, "m_tot_mub_per_cell": 3.51}

***

{"formula": "ZrAg2SnPt", "functional": "GGA-PBEsol", "state": "relaxed", "cell": [[4.9397, 0.0000, 0.0000], [0.0000, 4.9397, 0.0000], [0.0000, 0.0000, 5.4046]], "species": ["Zr", "Ag", "Ag", "Sn", "Pt"], "frac_coords": [[0.0000, 0.0000, 0.0000], [0.0000, 0.5000, 0.0000], [0.5000, 0.0000, 0.0000], [0.0000, 0.0000, 0.5000], [0.5000, 0.5000, 0.5000]], "dos_ef_per_ev_cell": 5.812, "final_energy_ry_per_atom": -0.283, "m_tot_mub_per_cell": 0.00}

***

{"formula": "Zr2TlAu", "functional": "GGA-PBEsol", "state": "relaxed", "cell": [[3.1375, 0.0000, 0.0000], [0.0000, 3.1375, 0.0000], [0.0000, 0.0000, 8.2581]], "species": ["Au", "Zr", "Zr", "Tl"], "frac_coords": [[0.5000, 0.5000, 0.0000], [0.0000, 0.0000, 0.2335], [0.0000, 0.0000, 0.7665], [0.5000, 0.5000, 0.5000]], "dos_ef_per_ev_cell": 2.650, "final_energy_ry_per_atom": -0.481, "m_tot_mub_per_cell": 0.00}

***

{"formula": "Sr3B2S6", "functional": "GGA-PBEsol", "state": "relaxed", "cell": [[6.0297, -0.0125, 0.0036], [2.4607, 5.5048, 0.0036], [2.7077, 1.7516, 14.9668]], "species": ["Sr", "Sr", "Sr", "Sr", "Sr", "Sr", "S", "S", "S", "S", "S", "S", "S", "S", "S", "S", "S", "S", "B", "B", "B", "B"], "frac_coords": [[0.9809, 0.0191, 0.2500], [0.6490, 0.6761, 0.4132], [0.6761, 0.6490, 0.9132], [0.3239, 0.3510, 0.0868], [0.3510, 0.3239, 0.5868], [0.0191, 0.9809, 0.7500], [0.5495, 0.2293, 0.3927], [0.2293, 0.5495, 0.8927], [0.8745, 0.2746, 0.5696], [0.4729, 0.0821, 0.7786], [0.1255, 0.7254, 0.4304], [0.0821, 0.4729, 0.2786], [0.7254, 0.1255, 0.9304], [0.4505, 0.7707, 0.6073], [0.5271, 0.9179, 0.2214], [0.9179, 0.5271, 0.7214], [0.2746, 0.8745, 0.0696], [0.7707, 0.4505, 0.1073], [0.7428, 0.5347, 0.6353], [0.2572, 0.4653, 0.3647], [0.5347, 0.7428, 0.1353], [0.4653, 0.2572, 0.8647]], "dos_ef_per_ev_cell": 0.000, "formation_energy_uncorrected_ev_per_fu": -15.60, "final_energy_ry_per_atom": -0.411, "m_tot_mub_per_cell": 0.00}

***

{"formula": "SrBe2Sb", "functional": "GGA-PBEsol", "state": "relaxed", "cell": [[4.6131, 0.0000, 0.0000], [0.0000, 4.6131, 0.0000], [-2.3065, -2.3065, 8.6928]], "species": ["Be", "Be", "Be", "Be", "Sb", "Sb", "Sr", "Sr"], "frac_coords": [[0.6250, 0.8750, 0.7500], [0.1250, 0.8750, 0.7500], [0.1250, 0.8750, 0.2500], [0.1250, 0.3750, 0.2500], [0.2500, 0.7500, 0.5000], [0.0000, 0.0000, 0.0000], [0.7500, 0.2500, 0.5000], [0.5000, 0.5000, 0.0000]], "dos_ef_per_ev_cell": 1.737, "formation_energy_uncorrected_ev_per_fu": 0.45, "final_energy_ry_per_atom": -0.256, "m_tot_mub_per_cell": 0.00}